# Ca2BiIrO6

A relaxed structure of Ca2BiIrO6 (PBE, the Alexandria database).

```
Ca2BiIrO6
1.0
5.6421 0.0000 0.0000
0.0000 5.9094 0.0000
-5.4677 0.0000 8.1508
Ca Bi Ir O
4 2 2 12
direct
0.2278 0.0630 0.2493
0.2278 0.4370 0.7493
0.7722 0.5630 0.2507
0.7722 0.9370 0.7507
0.5000 0.0000 0.0000
0.5000 0.5000 0.5000
0.0000 0.0000 0.5000
0.0000 0.5000 0.0000
0.0974 0.2167 0.9283
0.0974 0.2833 0.4283
0.2212 0.6815 0.9355
0.2212 0.8185 0.4355
0.3525 0.0552 0.7264
0.3525 0.4448 0.2264
0.6475 0.5552 0.7736
0.6475 0.9448 0.2736
0.7788 0.1815 0.5645
0.7788 0.3185 0.0645
0.9026 0.7167 0.5717
0.9026 0.7833 0.0717
```

M_tot = 1.205 μB/f.u.
E_form (uncorrected) = -1.75 eV/atom

# CrFeRu2Cl

A relaxed structure of CrFeRu2Cl (PBE, the Alexandria database).

```
CrFeRu2Cl
1.0
4.4941 0.0000 0.0000
0.0000 4.4941 0.0000
0.0000 0.0000 4.4843
Cr Fe Ru Cl
1 1 2 1
direct
0.0000 0.0000 0.0000
0.0000 0.0000 0.5000
0.0000 0.5000 0.0000
0.5000 0.0000 0.0000
0.5000 0.5000 0.5000
```

M_tot = 4.475 μB/f.u.
E_form (uncorrected) = 1.39 eV/atom

# ScRuW2

A relaxed structure of ScRuW2 (PBE, the Alexandria database).

```
ScRuW2
1.0
4.6104 0.0000 0.0000
0.0000 4.6104 0.0000
0.0000 0.0000 3.0448
Sc Ru W
1 1 2
direct
0.0000 0.0000 0.0000
0.5000 0.5000 0.0000
0.0000 0.5000 0.5000
0.5000 0.0000 0.5000
```

M_tot = 0.000 μB/f.u.
energy above the lowest structure with this stoichiometry = 346.1 meV/atom
energy relative to the elements = 0.29 eV/atom

# ThIrI

A relaxed structure of ThIrI (PBE, the Alexandria database).

```
ThIrI
1.0
0.0000 6.6399 4.0326
6.5598 0.0000 4.0326
6.5598 6.6399 0.0000
Th Ir I
4 4 4
direct
0.2091 0.7909 0.3533
0.6033 0.8967 0.4591
0.7909 0.2091 0.6467
0.8967 0.6033 0.0409
0.1441 0.9428 0.5820
0.6680 0.9188 0.1059
0.9188 0.6680 0.3072
0.9428 0.1441 0.3312
0.3417 0.9330 0.8777
0.3723 0.4023 0.9083
0.4023 0.3723 0.3170
0.9330 0.3417 0.8477
```

M_tot = 0.000 μB/f.u.
energy above the lowest structure with this stoichiometry = 235.6 meV/atom
E_form (uncorrected) = -0.63 eV/atom

# LaMgAu2

A relaxed structure of LaMgAu2 (PBE, the Alexandria database).

```
LaMgAu2
1.0
0.0000 3.5580 3.5580
3.5580 0.0000 3.5580
3.5580 3.5580 0.0000
La Mg Au
1 1 2
direct
0.0000 0.0000 0.0000
0.7500 0.7500 0.7500
0.2500 0.2500 0.2500
0.5000 0.5000 0.5000
```

M_tot = 0.001 μB/f.u.
energy relative to the elements = -0.48 eV/atom

# AcPaO6

A relaxed structure of AcPaO6 (PBE, the Alexandria database).

```
AcPaO6
1.0
0.0000 4.4438 4.4438
4.4438 0.0000 4.4438
4.4438 4.4438 0.0000
Ac Pa O
1 1 6
direct
0.0000 0.0000 0.0000
0.5000 0.5000 0.5000
0.2741 0.2741 0.7259
0.2741 0.7259 0.2741
0.2741 0.7259 0.7259
0.7259 0.2741 0.2741
0.7259 0.2741 0.7259
0.7259 0.7259 0.2741
```

M_tot = 0.000 μB/f.u.
E_form (uncorrected) = -2.07 eV/atom

# Pm2Y8Ho

A relaxed structure of Pm2Y8Ho (PBE, the Alexandria database).

```
Pm2Y8Ho
1.0
4.5347 -8.0297 0.0000
4.5347 8.0297 0.0000
-3.1509 0.0000 5.0058
Pm Y Ho
2 8 1
direct
0.1938 0.8062 0.0000
0.8062 0.1938 0.0000
0.0774 0.0774 0.2969
0.1713 0.4017 0.8327
0.2920 0.7080 0.5000
0.4017 0.1713 0.8327
0.5983 0.8287 0.1673
0.7080 0.2920 0.5000
0.8287 0.5983 0.1673
0.9226 0.9226 0.7031
0.5000 0.5000 0.5000
```

M_tot = 0.000 μB/f.u.
energy relative to the elements = 0.16 eV/atom

# Ti6FePb

A relaxed structure of Ti6FePb (PBE, the Alexandria database).

```
Ti6FePb
1.0
4.4453 2.5665 2.1228
-4.4453 2.5665 2.1228
0.0000 -5.1330 2.1228
Ti Fe Pb
6 1 1
direct
0.2264 0.2264 0.6508
0.2264 0.6508 0.2264
0.3492 0.7736 0.7736
0.6508 0.2264 0.2264
0.7736 0.3492 0.7736
0.7736 0.7736 0.3492
0.5000 0.5000 0.5000
0.0000 0.0000 0.0000
```

M_tot = 0.000 μB/f.u.
energy relative to the elements = 0.15 eV/atom

# CoTc2Ge4

A relaxed structure of CoTc2Ge4 (PBE, the Alexandria database).

```
CoTc2Ge4
1.0
6.7220 -1.6063 0.0000
6.7220 1.6063 0.0000
-2.2091 0.0000 5.0681
Co Tc Ge
1 2 4
direct
0.0000 0.0000 0.0000
0.2487 0.2487 0.2495
0.7513 0.7513 0.7505
0.1100 0.1100 0.7656
0.3929 0.3929 0.7020
0.6071 0.6071 0.2980
0.8900 0.8900 0.2344
```

M_tot = 0.000 μB/f.u.
energy above the lowest structure with this stoichiometry = 0.0 meV/atom
energy relative to the elements = -0.12 eV/atom

# BeVMo

A relaxed structure of BeVMo (PBE, the Alexandria database).

```
BeVMo
1.0
-1.5712 1.5712 3.8902
1.5712 -1.5712 3.8902
1.5712 1.5712 -3.8902
Be V Mo
1 1 1
direct
0.0000 0.0000 0.0000
0.3395 0.3395 0.0000
0.6619 0.6619 0.0000
```

M_tot = 0.763 μB/f.u.
energy above the lowest structure with this stoichiometry = 7.0 meV/atom
energy relative to the elements = 0.01 eV/atom

# LiSi

A relaxed structure of LiSi (PBE, the Alexandria database).

```
LiSi
1.0
8.2244 0.0000 0.0000
0.0000 8.2244 0.0000
0.0000 0.0000 4.0217
Li Si
8 8
direct
0.0736 0.2429 0.0000
0.1452 0.7408 0.5000
0.2429 0.9264 0.0000
0.2592 0.1452 0.5000
0.7408 0.8548 0.5000
0.7571 0.0736 0.0000
0.8548 0.2592 0.5000
0.9264 0.7571 0.0000
0.1298 0.4331 0.5000
0.2828 0.5101 0.0000
0.4331 0.8702 0.5000
0.4899 0.2828 0.0000
0.5101 0.7171 0.0000
0.5669 0.1298 0.5000
0.7171 0.4899 0.0000
0.8702 0.5669 0.5000
```

M_tot = 0.000 μB/f.u.
E_form (uncorrected) = 0.02 eV/atom

# RbTlAg

A relaxed structure of RbTlAg (PBE, the Alexandria database).

```
RbTlAg
1.0
7.3019 0.0000 0.0000
-0.8261 7.3528 0.0000
-2.4846 -3.2681 8.0420
Rb Tl Ag
4 4 4
direct
0.1320 0.0056 0.2226
0.2727 0.7102 0.5710
0.7273 0.2898 0.4290
0.8680 0.9944 0.7774
0.2703 0.2576 0.7030
0.3255 0.4536 0.1399
0.6745 0.5464 0.8601
0.7297 0.7424 0.2970
0.0815 0.5580 0.8751
0.4659 0.8210 0.0209
0.5341 0.1790 0.9791
0.9185 0.4420 0.1249
```

M_tot = 0.000 μB/f.u.
energy above the lowest structure with this stoichiometry = 12.2 meV/atom
energy relative to the elements = 0.00 eV/atom

> What is the M_tot in the eighth record?

0.000 μB/f.u.